# 1
Below is a PBEsol-optimized structure of NiHgSe, with properties calculated at the SCAN level.

Structure (POSCAR):
```
NiHgSe
1.0
4.264 0.000 0.000
2.132 3.693 0.000
2.132 1.231 3.482
Se Hg Ni
1 1 1
direct
0.000 0.000 0.000
0.500 0.500 0.500
0.250 0.250 0.250
```

uncorrected energy = -2.547 Ry per atom
ΔE_f (raw) = 0.15 eV per atom
V = 54.8 Å³/f.u.
space group = F-43m, No. 216
energy above the lowest structure with this stoichiometry = 169.9 meV per atom


# 2
Below is a PBEsol-optimized structure of NiHgSe, with properties calculated at the SCAN level.

Structure (POSCAR):
```
NiHgSe
1.0
-0.340 0.727 -3.262
0.566 -3.168 0.965
-5.506 -0.867 0.381
Se Hg Ni
1 1 1
direct
0.333 0.667 0.408
0.000 0.000 0.963
0.667 0.333 0.629
```

uncorrected energy = -2.560 Ry per atom
ΔE_f (raw) = -0.02 eV per atom
V = 54.6 Å³/f.u.
space group = P3m1, No. 156
energy above the lowest structure with this stoichiometry = 0.0 meV per atom